[1]
NaTi2BeAl | PBE-GGA | relaxed

Properties
The final energy is -20.0 eV per formula unit. The calculation puts the calculated volume at 20.9 A^3/atom. As for the symmetry: P4/mmm, No. 123. Its density of states at the Fermi level is 1.66 states/eV/cell. Its formation energy is 915 meV per atom. Its magnetization is 0.00 μB per cell.

a b c (Å): 4.9090 4.3369 4.9090
angles (deg): 90.00 90.00 90.00
Fractional positions:
1 Ti 0.5000 0.0000 0.0000
2 Ti 0.0000 0.0000 0.5000
3 Na 0.5000 0.5000 0.5000
4 Be 0.0000 0.5000 0.0000
5 Al 0.0000 0.0000 0.0000


[2]
Na2BeAlTl | PBE-GGA | relaxed

Properties
The final energy is -8.2 eV per formula unit. The calculation puts the calculated volume at 35.8 A^3/atom. As for the symmetry: P4/mmm, No. 123. Its density of states at the Fermi level is 1.80 states/eV/cell. Its formation energy is 845 meV per atom. Its magnetization is 0.00 μB per cell.

a b c (Å): 5.8688 5.1997 5.8688
angles (deg): 90.00 90.00 90.00
Fractional positions:
1 Al 0.0000 0.0000 0.0000
2 Be 0.5000 0.5000 0.5000
3 Tl 0.0000 0.5000 0.0000
4 Na 0.5000 0.0000 0.0000
5 Na 0.0000 0.0000 0.5000


[3]
Be17NbAl | PBE-GGA | relaxed

Properties
The final energy is -78.9 eV per formula unit. The calculation puts the calculated volume at 8.9 A^3/atom. As for the symmetry: R3m, No. 160. Its density of states at the Fermi level is 4.95 states/eV/cell. Its formation energy is -89 meV per atom. Its magnetization is 0.00 μB per cell.

a b c (Å): 5.5769 5.5769 5.5769
angles (deg): 82.59 82.59 82.59
Fractional positions:
1 Al 0.3698 0.3698 0.3698
2 Be 0.6575 0.1565 0.6575
3 Be 0.2958 0.0024 0.6984
4 Be 0.3444 0.3444 0.8371
5 Be 0.2958 0.6984 0.0024
6 Be 0.9896 0.5022 0.9896
7 Be 0.3444 0.8371 0.3444
8 Be 0.8981 0.8981 0.8981
9 Be 0.6984 0.2958 0.0024
10 Be 0.1565 0.6575 0.6575
11 Be 0.5022 0.9896 0.9896
12 Be 0.0986 0.0986 0.0986
13 Be 0.6984 0.0024 0.2958
14 Be 0.8371 0.3444 0.3444
15 Be 0.0024 0.6984 0.2958
16 Be 0.0024 0.2958 0.6984
17 Be 0.6575 0.6575 0.1565
18 Be 0.9896 0.9896 0.5022
19 Nb 0.6615 0.6615 0.6615


[4]
Be2NbAl | PBE-GGA | relaxed

Properties
The final energy is -22.3 eV per formula unit. The calculation puts the calculated volume at 12.6 A^3/atom. As for the symmetry: P4/mmm, No. 123. Its density of states at the Fermi level is 1.17 states/eV/cell. Its formation energy is -253 meV per atom. Its magnetization is 0.00 μB per cell.

a b c (Å): 3.5814 3.7584 3.7584
angles (deg): 90.00 90.00 90.00
Fractional positions:
1 Be 0.0000 0.5000 0.0000
2 Be 0.0000 0.0000 0.5000
3 Al 0.5000 0.5000 0.5000
4 Nb 0.5000 0.0000 0.0000


Repeat the third record exactly.
Be17NbAl | PBE-GGA | relaxed

Properties
The final energy is -78.9 eV per formula unit. The calculation puts the calculated volume at 8.9 A^3/atom. As for the symmetry: R3m, No. 160. Its density of states at the Fermi level is 4.95 states/eV/cell. Its formation energy is -89 meV per atom. Its magnetization is 0.00 μB per cell.

a b c (Å): 5.5769 5.5769 5.5769
angles (deg): 82.59 82.59 82.59
Fractional positions:
1 Al 0.3698 0.3698 0.3698
2 Be 0.6575 0.1565 0.6575
3 Be 0.2958 0.0024 0.6984
4 Be 0.3444 0.3444 0.8371
5 Be 0.2958 0.6984 0.0024
6 Be 0.9896 0.5022 0.9896
7 Be 0.3444 0.8371 0.3444
8 Be 0.8981 0.8981 0.8981
9 Be 0.6984 0.2958 0.0024
10 Be 0.1565 0.6575 0.6575
11 Be 0.5022 0.9896 0.9896
12 Be 0.0986 0.0986 0.0986
13 Be 0.6984 0.0024 0.2958
14 Be 0.8371 0.3444 0.3444
15 Be 0.0024 0.6984 0.2958
16 Be 0.0024 0.2958 0.6984
17 Be 0.6575 0.6575 0.1565
18 Be 0.9896 0.9896 0.5022
19 Nb 0.6615 0.6615 0.6615


Please write out number 2 again, unchanged.
Na2BeAlTl | PBE-GGA | relaxed

Properties
The final energy is -8.2 eV per formula unit. The calculation puts the calculated volume at 35.8 A^3/atom. As for the symmetry: P4/mmm, No. 123. Its density of states at the Fermi level is 1.80 states/eV/cell. Its formation energy is 845 meV per atom. Its magnetization is 0.00 μB per cell.

a b c (Å): 5.8688 5.1997 5.8688
angles (deg): 90.00 90.00 90.00
Fractional positions:
1 Al 0.0000 0.0000 0.0000
2 Be 0.5000 0.5000 0.5000
3 Tl 0.0000 0.5000 0.0000
4 Na 0.5000 0.0000 0.0000
5 Na 0.0000 0.0000 0.5000


> The highest calculated volume belongs to which entry?

Na2BeAlTl